[1]
Entry from Alexandria: PrSmTlGe after structural relaxation (PBE).

Calculated values
**DOS(E_F)**: 2.52 states/eV/f.u.
**Density**: 8.65 g/cm3
**Formation energy from the elements**: -453 meV per atom
**E_tot**: -4.573 eV per atom

Cell: 7.585 7.585 7.585 Å, 90.00 90.00 90.00°
Space group F-43m (No. 216)
One atom of each set of equivalent atoms:
Pr1 0.000 0.000 0.000
Sm1 0.000 0.000 0.500
Tl1 0.250 0.250 0.750
Ge1 0.250 0.250 0.250


[2]
Entry from Alexandria: PuMnNbOs after structural relaxation (PBE).

Calculated values
**DOS(E_F)**: 4.34 states/eV/f.u.
**Density**: 14.02 g/cm3
**Formation energy from the elements**: 66 meV per atom
**E_tot**: -11.134 eV per atom

Cell: 6.509 6.509 6.509 Å, 90.00 90.00 90.00°
Space group F-43m (No. 216)
One atom of each set of equivalent atoms:
Pu1 0.000 0.000 0.000
Mn1 0.250 0.250 0.750
Nb1 0.000 0.000 0.500
Os1 0.250 0.250 0.250


[3]
Entry from Alexandria: LaGa4Pt2 after structural relaxation (PBE).

Calculated values
**DOS(E_F)**: 2.66 states/eV/f.u.
**Density**: 10.29 g/cm3
**Formation energy from the elements**: -836 meV per atom
**E_tot**: -4.995 eV per atom

Cell: 17.667 4.401 6.709 Å, 90.00 90.00 90.00°
Space group Pnma (No. 62)
One atom of each set of equivalent atoms:
La1 0.139 0.250 0.012
Ga1 0.037 0.750 0.833
Ga2 0.073 0.250 0.490
Ga3 0.183 0.750 0.324
Ga4 0.190 0.750 0.724
Pt1 0.036 0.750 0.256
Pt2 0.218 0.250 0.527


[4]
Entry from Alexandria: LiZr2Ni after structural relaxation (PBE).

Calculated values
**DOS(E_F)**: 4.57 states/eV/f.u.
**Density**: 5.91 g/cm3
**Formation energy from the elements**: 11 meV per atom
**E_tot**: -6.187 eV per atom

Cell: 3.131 4.168 5.564 Å, 90.00 106.24 90.00°
Space group Pm (No. 6)
One atom of each set of equivalent atoms:
Li1 0.000 0.000 0.000
Zr1 0.412 0.500 0.825
Zr2 0.722 0.000 0.446
Ni1 0.130 0.500 0.262


[5]
Entry from Alexandria: La3ErSe4 after structural relaxation (PBE).

Calculated values
**DOS(E_F)**: 4.32 states/eV/f.u.
**E above lowest polymorph**: 0.0 meV per atom
**Density**: 6.90 g/cm3
**E_tot**: -6.080 eV per atom

Cell: 7.404 8.445 7.347 Å, 90.00 109.36 90.00°
Space group P2/c (No. 13)
One atom of each set of equivalent atoms:
La1 0.000 0.123 0.250
La2 0.000 0.374 0.750
La3 0.500 0.125 0.750
Er1 0.500 0.374 0.250
Se1 0.259 0.134 0.009
Se2 0.266 0.383 0.500


[6]
Entry from Alexandria: Pm3Mg2Au4 after structural relaxation (PBE).

Calculated values
**DOS(E_F)**: 6.23 states/eV/f.u.
**E above lowest polymorph**: 14.9 meV per atom
**Density**: 9.71 g/cm3
**Formation energy from the elements**: -675 meV per atom
**E_tot**: -4.069 eV per atom

Cell: 10.233 4.581 9.291 Å, 90.00 93.10 90.00°
Space group C2/m (No. 12)
One atom of each set of equivalent atoms:
Pm1 0.000 0.000 0.000
Pm2 0.127 0.500 0.389
Mg1 0.178 0.500 0.783
Au1 0.081 0.000 0.636
Au2 0.198 0.500 0.083


[7]
Entry from Alexandria: Cs2Tl2Se2F after structural relaxation (PBE).

Calculated values
**DOS(E_F)**: 3.65 states/eV/f.u.
**Density**: 4.94 g/cm3
**E_tot**: -3.294 eV per atom

Cell: 16.641 4.293 8.286 Å, 90.00 104.96 90.00°
Space group C2/m (No. 12)
One atom of each set of equivalent atoms:
Cs1 0.011 0.000 0.269
Tl1 0.238 0.500 0.793
Se1 0.148 0.500 0.053
F1 0.000 0.500 0.500


[8]
Entry from Alexandria: Sr5Cu after structural relaxation (PBE).

Calculated values
**DOS(E_F)**: 5.49 states/eV/f.u.
**E above lowest polymorph**: 0.0 meV per atom
**Density**: 2.99 g/cm3
**Formation energy from the elements**: 16 meV per atom
**E_tot**: -2.068 eV per atom

Cell: 14.040 4.192 9.672 Å, 90.00 102.01 90.00°
Space group Cm (No. 8)
One atom of each set of equivalent atoms:
Sr1 0.000 0.000 0.000
Sr2 0.081 0.000 0.426
Sr3 0.198 0.500 0.799
Sr4 0.299 0.000 0.211
Sr5 0.392 0.000 0.628
Cu1 0.252 0.500 0.454


[9]
Entry from Alexandria: CrN2 after structural relaxation (PBE).

Calculated values
**DOS(E_F)**: 1.21 states/eV/f.u.
**Density**: 3.31 g/cm3
**E_tot**: -8.488 eV per atom

Cell: 3.079 3.095 5.042 Å, 73.54 81.53 60.66°
Space group P1 (No. 1)
One atom of each set of equivalent atoms:
Cr1 0.000 0.000 0.000
N1 0.331 0.268 0.153
N2 0.336 0.406 0.847


[10]
Entry from Alexandria: Pm2Er5Co4 after structural relaxation (PBE).

Calculated values
**DOS(E_F)**: 8.07 states/eV/f.u.
**Density**: 8.34 g/cm3
**Formation energy from the elements**: 23 meV per atom
**E_tot**: -5.498 eV per atom

Cell: 12.030 6.497 8.852 Å, 90.00 128.35 90.00°
Space group C2/m (No. 12)
One atom of each set of equivalent atoms:
Pm1 0.220 0.000 0.125
Er1 0.000 0.500 0.000
Er2 0.072 0.241 0.393
Co1 0.172 0.000 0.785
Co2 0.218 0.500 0.344


[11]
Entry from Alexandria: Sr2LiZnPt after structural relaxation (PBE).

Calculated values
**DOS(E_F)**: 2.72 states/eV/f.u.
**E above lowest polymorph**: 0.0 meV per atom
**Density**: 4.32 g/cm3
**Formation energy from the elements**: -334 meV per atom
**E_tot**: -2.852 eV per atom

Cell: 5.851 5.851 4.971 Å, 90.00 90.00 90.00°
Space group P4/mmm (No. 123)
One atom of each set of equivalent atoms:
Sr1 0.000 0.500 0.000
Li1 0.000 0.000 0.500
Zn1 0.500 0.500 0.500
Pt1 0.500 0.500 0.000


[12]
Entry from Alexandria: CaIr2Se after structural relaxation (PBE).

Calculated values
**DOS(E_F)**: 2.29 states/eV/f.u.
**E above lowest polymorph**: 343.7 meV per atom
**Density**: 11.71 g/cm3
**E_tot**: -5.699 eV per atom

Cell: 3.077 3.077 7.538 Å, 90.00 90.00 90.00°
Space group P4/mmm (No. 123)
One atom of each set of equivalent atoms:
Ca1 0.000 0.000 0.000
Ir1 0.500 0.500 0.294
Se1 0.000 0.000 0.500


[13]
Entry from Alexandria: ReMo2H2 after structural relaxation (PBE).

Calculated values
**DOS(E_F)**: 3.22 states/eV/f.u.
**E above lowest polymorph**: 755.5 meV per atom
**Density**: 10.69 g/cm3
**E_tot**: -7.358 eV per atom

Cell: 6.814 6.814 2.543 Å, 90.00 90.00 90.00°
Space group P4/mbm (No. 127)
One atom of each set of equivalent atoms:
Re1 0.000 0.000 0.000
Mo1 0.137 0.363 0.000
H1 0.098 0.598 0.500


[14]
Entry from Alexandria: Cd5Bi3O12 after structural relaxation (PBE).

Calculated values
**DOS(E_F)**: 1.69 states/eV/f.u.
**E above lowest polymorph**: 0.0 meV per atom
**Density**: 8.12 g/cm3
**E_tot**: -4.724 eV per atom

Cell: 9.8006 9.8006 3.3933 Å, 90.00 90.00 120.00°
Space group P-62m (No. 189)
One atom of each set of equivalent atoms:
Cd1 0.0000 0.2868 0.0000
Cd2 0.3333 0.6667 0.0000
Bi1 0.0000 0.6631 0.5000
O1 0.0000 0.5229 0.0000
O2 0.0000 0.8107 0.0000
O3 0.2005 0.4513 0.5000


[15]
Entry from Alexandria: KCoTe2 after structural relaxation (PBE).

Calculated values
**DOS(E_F)**: 4.11 states/eV/f.u.
**Density**: 4.43 g/cm3
**E_tot**: -3.697 eV per atom

Cell: 3.356 4.561 8.659 Å, 90.00 90.38 90.00°
Space group Pm (No. 6)
One atom of each set of equivalent atoms:
K1 0.000 0.000 0.000
Co1 0.489 0.500 0.516
Te1 0.492 0.000 0.637
Te2 0.504 0.500 0.233


[16]
Entry from Alexandria: InCuSi after structural relaxation (PBE).

Calculated values
**DOS(E_F)**: 0.70 states/eV/f.u.
**Density**: 6.15 g/cm3
**E_tot**: -3.985 eV per atom

Cell: 3.959 4.728 6.325 Å, 101.12 105.48 91.91°
Space group P-1 (No. 2)
One atom of each set of equivalent atoms:
In1 0.243 0.257 0.012
Cu1 0.278 0.387 0.585
Si1 0.296 0.892 0.591


[17]
Entry from Alexandria: Ba3PrTh2Bi6 after structural relaxation (PBE).

Calculated values
**DOS(E_F)**: 8.24 states/eV/f.u.
**Density**: 7.81 g/cm3
**Formation energy from the elements**: -812 meV per atom
**E_tot**: -4.868 eV per atom

Cell: 8.270 14.336 8.604 Å, 90.00 108.71 90.00°
Space group C2/m (No. 12)
One atom of each set of equivalent atoms:
Ba1 0.000 0.000 0.000
Ba2 0.000 0.335 0.000
Pr1 0.000 0.500 0.500
Th1 0.000 0.167 0.500
Bi1 0.235 0.000 0.719
Bi2 0.242 0.331 0.720


[18]
Entry from Alexandria: RbSnTe3 after structural relaxation (PBE).

Calculated values
**DOS(E_F)**: 9.49 states/eV/f.u.
**Density**: 4.23 g/cm3
**E_tot**: -1.994 eV per atom

Cell: 6.128 6.128 6.128 Å, 90.00 90.00 90.00°
Space group Pm-3m (No. 221)
One atom of each set of equivalent atoms:
Rb1 0.000 0.000 0.000
Sn1 0.500 0.500 0.500
Te1 0.000 0.000 0.500


[19]
Entry from Alexandria: RbPaNbO6 after structural relaxation (PBE).

Calculated values
**DOS(E_F)**: 6.19 states/eV/f.u.
**Density**: 4.79 g/cm3
**E_tot**: -8.197 eV per atom

Cell: 5.7150 5.7150 12.3973 Å, 90.00 90.00 120.00°
Space group P-31c (No. 163)
One atom of each set of equivalent atoms:
Rb1 0.0000 0.0000 0.0000
Pa1 0.3333 0.6667 0.2500
Nb1 0.3333 0.6667 0.7500
O1 0.0171 0.4020 0.6588


[20]
Entry from Alexandria: NaTi3Te after structural relaxation (PBE).

Calculated values
**DOS(E_F)**: 7.01 states/eV/f.u.
**E above lowest polymorph**: 0.0 meV per atom
**Density**: 3.69 g/cm3
**E_tot**: -4.863 eV per atom

Cell: 5.099 5.099 5.099 Å, 90.00 90.00 90.00°
Space group Pm-3m (No. 221)
One atom of each set of equivalent atoms:
Na1 0.000 0.000 0.000
Ti1 0.000 0.500 0.500
Te1 0.500 0.500 0.500